[1]
Below is an optimized crystal structure of NaCuRe3, with properties calculated at the PBE-GGA level.

Unit cell a=4.5393 b=4.5393 c=4.5393 alpha=90.00 beta=90.00 gamma=90.00
Sites, in units of the cell vectors:
Re 0.0000 0.5000 0.0000
Re 0.0000 0.0000 0.5000
Re 0.5000 0.0000 0.0000
Na 0.5000 0.5000 0.5000
Cu 0.0000 0.0000 0.0000

## Properties
relative energy among the computed polymorphs: 0 meV/atom
final energy: -31.84 eV per cell
space group: Pm-3m, No. 221
calculated formation energy: 1053 kJ/mol of formula units

---

[2]
Below is an optimized crystal structure of Li2TlPdBr6, with properties calculated at the PBE-GGA level.

Unit cell a=6.9431 b=6.6676 c=8.8869 alpha=65.01 beta=63.80 gamma=58.46
Site moments in Bohr magnetons follow the coordinates.
Sites, in units of the cell vectors:
Br 0.9376 0.5607 0.2411  0.02
Br 0.5678 0.2460 0.2538  0.14
Br 0.0645 0.3862 0.8493  0.14
Br 0.6948 0.0717 0.8619  0.02
Br 0.2617 0.9325 0.2381  0.02
Br 0.3708 0.6998 0.8650  0.02
Li 0.6630 0.6300 0.0607  0.00
Li 0.9690 0.0022 0.0422  0.00
Pd 0.3162 0.3162 0.0515  0.43
Tl 0.8161 0.8163 0.5515  0.01

## Properties
final energy: -30.06 eV per cell
space group: P-1, No. 2
formation energy (no corrections): -0.86 eV per atom